CaAgSn2F: optimized geometry, GGA-PBE.

Values from the calculation:
* formation energy without anion corrections: 505 meV per atom
* DFT total energy: -12.2 eV per formula unit

Lattice parameters (Å, degrees): 6.011 6.011 5.420 90.00 90.00 90.00
Space group P4/mmm (No. 123)
Unique sites:
Ca 0.000 0.000 0.000 x1
Ag 0.000 0.000 0.500 x1
Sn 0.000 0.500 0.000 x2
F 0.500 0.500 0.500 x1